Record 1
# TbDy2Cu4Sn4

A relaxed structure of TbDy2Cu4Sn4 (PBE, the Open Quantum Materials Database).

Values from the calculation:
The value obtained for the volume is 228.3 Å³ per cell. For the total energy, the calculation gives -50.4 eV per cell.

Cell lengths 8.439, 8.439, 8.439 Å; angles 149.30, 131.42, 58.57 degrees
Atoms (fractional coordinates):
Cu 0.642 0.330 0.312
Cu 0.983 0.670 0.312
Cu 0.017 0.330 0.688
Cu 0.358 0.670 0.688
Dy 0.631 0.131 0.500
Dy 0.369 0.869 0.500
Sn 0.216 0.216 0.000
Sn 0.784 0.784 0.000
Sn 0.703 0.500 0.203
Sn 0.297 0.500 0.798
Tb 0.000 0.000 0.000


Record 2
# Tb2DyCu4Sn4

A relaxed structure of Tb2DyCu4Sn4 (PBE, the Open Quantum Materials Database).

Values from the calculation:
The value obtained for the volume is 228.5 Å³ per cell. For the total energy, the calculation gives -50.5 eV per cell.

Cell lengths 8.443, 8.443, 8.443 Å; angles 149.30, 131.46, 58.54 degrees
Atoms (fractional coordinates):
Cu 0.642 0.330 0.312
Cu 0.983 0.670 0.312
Cu 0.017 0.330 0.688
Cu 0.358 0.670 0.688
Dy 0.000 0.000 0.000
Sn 0.216 0.216 0.000
Sn 0.784 0.784 0.000
Sn 0.703 0.500 0.203
Sn 0.297 0.500 0.797
Tb 0.631 0.131 0.500
Tb 0.369 0.869 0.500


Q: Which formula does entry 1 have?
A: TbDy2Cu4Sn4


Please write out number 2 again, unchanged.
# Tb2DyCu4Sn4

A relaxed structure of Tb2DyCu4Sn4 (PBE, the Open Quantum Materials Database).

Values from the calculation:
The value obtained for the volume is 228.5 Å³ per cell. For the total energy, the calculation gives -50.5 eV per cell.

Cell lengths 8.443, 8.443, 8.443 Å; angles 149.30, 131.46, 58.54 degrees
Atoms (fractional coordinates):
Cu 0.642 0.330 0.312
Cu 0.983 0.670 0.312
Cu 0.017 0.330 0.688
Cu 0.358 0.670 0.688
Dy 0.000 0.000 0.000
Sn 0.216 0.216 0.000
Sn 0.784 0.784 0.000
Sn 0.703 0.500 0.203
Sn 0.297 0.500 0.797
Tb 0.631 0.131 0.500
Tb 0.369 0.869 0.500


Q: What is the formula in the first record?
A: TbDy2Cu4Sn4


Q: What is the formula in the second record?
A: Tb2DyCu4Sn4